Run 1
# GGA-PBE TlHg2Sb2, optimized geometry
# N(E_F): 0.4934 states/eV per atom
data_TlHg2Sb2
_chemical_formula_sum 'Tl2 Hg4 Sb4'
_symmetry_space_group_name_H-M 'I 4/m m m'
_symmetry_Int_Tables_number 139
_symmetry_space_group_name_Hall '-I 4 2'
_cell_length_a 5.500
_cell_length_b 5.500
_cell_length_c 10.416
_cell_angle_alpha 90.00
_cell_angle_beta 90.00
_cell_angle_gamma 90.00
loop_
_atom_site_label
_atom_site_fract_x
_atom_site_fract_y
_atom_site_fract_z
Tl1 0.000 0.000 0.000
Hg1 0.000 0.500 0.250
Sb1 0.000 0.000 0.363

---

Run 2
# GGA-PBE TlHg2Sb2, optimized geometry
# N(E_F): 0.5157 states/eV per atom
data_TlHg2Sb2
_chemical_formula_sum 'Tl2 Hg4 Sb4'
_symmetry_space_group_name_H-M 'P 4/m b m'
_symmetry_Int_Tables_number 127
_symmetry_space_group_name_Hall '-P 4 2ab'
_cell_length_a 8.923
_cell_length_b 8.923
_cell_length_c 3.577
_cell_angle_alpha 90.00
_cell_angle_beta 90.00
_cell_angle_gamma 90.00
loop_
_atom_site_label
_atom_site_fract_x
_atom_site_fract_y
_atom_site_fract_z
Tl1 0.000 0.000 0.000
Hg1 0.154 0.346 0.000
Sb1 0.142 0.642 0.500

---

Verdict on stability: run 1 comes out on top.

---

Run 1
# GGA-PBE Tl6Hg2Sb, optimized geometry
# N(E_F): 0.2887 states/eV per atom
data_Tl6Hg2Sb
_chemical_formula_sum 'Tl6 Hg2 Sb1'
_symmetry_space_group_name_H-M 'P -6 2 m'
_symmetry_Int_Tables_number 189
_symmetry_space_group_name_Hall 'P -6 -2'
_cell_length_a 8.5902
_cell_length_b 8.5902
_cell_length_c 4.4453
_cell_angle_alpha 90.00
_cell_angle_beta 90.00
_cell_angle_gamma 120.00
loop_
_atom_site_label
_atom_site_fract_x
_atom_site_fract_y
_atom_site_fract_z
Tl1 0.0000 0.2646 0.0000
Tl2 0.0000 0.6020 0.5000
Hg1 0.3333 0.6667 0.0000
Sb1 0.0000 0.0000 0.5000

---

Run 2
# GGA-PBE Tl6Hg2Sb, optimized geometry
# N(E_F): 0.4650 states/eV per atom
data_Tl6Hg2Sb
_chemical_formula_sum 'Tl24 Hg8 Sb4'
_symmetry_space_group_name_H-M 'I m m m'
_symmetry_Int_Tables_number 71
_symmetry_space_group_name_Hall '-I 2 2'
_cell_length_a 10.053
_cell_length_b 10.362
_cell_length_c 10.844
_cell_angle_alpha 90.00
_cell_angle_beta 90.00
_cell_angle_gamma 90.00
loop_
_atom_site_label
_atom_site_fract_x
_atom_site_fract_y
_atom_site_fract_z
Tl1 0.000 0.229 0.171
Tl2 0.192 0.223 0.500
Tl3 0.193 0.500 0.247
Hg1 0.000 0.000 0.360
Hg2 0.151 0.000 0.000
Sb1 0.000 0.500 0.000
Sb2 0.000 0.500 0.500

---

Verdict on stability: run 1 comes out on top.

---

Run 1
# GGA-PBE Tl6Hg3Sb, optimized geometry
# N(E_F): 0.4216 states/eV per atom
data_Tl6Hg3Sb
_chemical_formula_sum 'Tl12 Hg6 Sb2'
_symmetry_space_group_name_H-M 'P 1 21/m 1'
_symmetry_Int_Tables_number 11
_symmetry_space_group_name_Hall '-P 2yb'
_cell_length_a 9.837
_cell_length_b 5.347
_cell_length_c 11.794
_cell_angle_alpha 90.00
_cell_angle_beta 103.05
_cell_angle_gamma 90.00
loop_
_atom_site_label
_atom_site_fract_x
_atom_site_fract_y
_atom_site_fract_z
Tl1 0.036 0.250 0.394
Tl2 0.126 0.750 0.205
Tl3 0.270 0.250 0.985
Tl4 0.347 0.750 0.821
Tl5 0.351 0.250 0.287
Tl6 0.439 0.250 0.587
Hg1 0.036 0.750 0.912
Hg2 0.162 0.250 0.687
Hg3 0.251 0.750 0.491
Sb1 0.432 0.750 0.132

---

Run 2
# GGA-PBE Tl6Hg3Sb, optimized geometry
# N(E_F): 0.3216 states/eV per atom
data_Tl6Hg3Sb
_chemical_formula_sum 'Tl12 Hg6 Sb2'
_symmetry_space_group_name_H-M 'P 1 21/m 1'
_symmetry_Int_Tables_number 11
_symmetry_space_group_name_Hall '-P 2yb'
_cell_length_a 11.275
_cell_length_b 4.449
_cell_length_c 13.570
_cell_angle_alpha 90.00
_cell_angle_beta 111.48
_cell_angle_gamma 90.00
loop_
_atom_site_label
_atom_site_fract_x
_atom_site_fract_y
_atom_site_fract_z
Tl1 0.072 0.250 0.241
Tl2 0.178 0.750 0.679
Tl3 0.270 0.750 0.106
Tl4 0.281 0.250 0.884
Tl5 0.335 0.750 0.467
Tl6 0.423 0.250 0.687
Hg1 0.034 0.250 0.935
Hg2 0.115 0.250 0.492
Hg3 0.494 0.750 0.892
Sb1 0.372 0.250 0.309

---

Verdict on stability: run 1 comes out on top.

---

Run 1
# GGA-PBE Tl2Hg3Sb, optimized geometry
# N(E_F): 0.3369 states/eV per atom
data_Tl2Hg3Sb
_chemical_formula_sum 'Tl4 Hg6 Sb2'
_symmetry_space_group_name_H-M 'C 1 m 1'
_symmetry_Int_Tables_number 8
_symmetry_space_group_name_Hall 'C -2y'
_cell_length_a 12.084
_cell_length_b 4.890
_cell_length_c 8.001
_cell_angle_alpha 90.00
_cell_angle_beta 130.67
_cell_angle_gamma 90.00
loop_
_atom_site_label
_atom_site_fract_x
_atom_site_fract_y
_atom_site_fract_z
Tl1 0.000 0.000 0.000
Tl2 0.117 0.000 0.617
Hg1 0.218 0.500 0.417
Hg2 0.403 0.000 0.219
Hg3 0.407 0.000 0.616
Sb1 0.223 0.500 0.034

---

Run 2
# GGA-PBE Tl2Hg3Sb, optimized geometry
# N(E_F): 0.3630 states/eV per atom
data_Tl2Hg3Sb
_chemical_formula_sum 'Tl16 Hg24 Sb8'
_symmetry_space_group_name_H-M 'F m m m'
_symmetry_Int_Tables_number 69
_symmetry_space_group_name_Hall '-F 2 2'
_cell_length_a 7.536
_cell_length_b 10.347
_cell_length_c 18.079
_cell_angle_alpha 90.00
_cell_angle_beta 90.00
_cell_angle_gamma 90.00
loop_
_atom_site_label
_atom_site_fract_x
_atom_site_fract_y
_atom_site_fract_z
Tl1 0.243 0.000 0.000
Tl2 0.250 0.250 0.250
Hg1 0.000 0.000 0.165
Hg2 0.000 0.248 0.417
Sb1 0.000 0.000 0.333

---

Verdict on stability: run 1 comes out on top.

---

Run 1
# GGA-PBE Tl5HgSb2, optimized geometry
# N(E_F): 0.5747 states/eV per atom
data_Tl5HgSb2
_chemical_formula_sum 'Tl10 Hg2 Sb4'
_symmetry_space_group_name_H-M 'P b a m'
_symmetry_Int_Tables_number 55
_symmetry_space_group_name_Hall '-P 2 2ab'
_cell_length_a 7.069
_cell_length_b 14.178
_cell_length_c 4.791
_cell_angle_alpha 90.00
_cell_angle_beta 90.00
_cell_angle_gamma 90.00
loop_
_atom_site_label
_atom_site_fract_x
_atom_site_fract_y
_atom_site_fract_z
Tl1 0.000 0.000 0.000
Tl2 0.010 0.249 0.000
Tl3 0.233 0.620 0.500
Hg1 0.000 0.500 0.000
Sb1 0.250 0.377 0.500

---

Run 2
# GGA-PBE Tl5HgSb2, optimized geometry
# N(E_F): 0.2798 states/eV per atom
data_Tl5HgSb2
_chemical_formula_sum 'Tl20 Hg4 Sb8'
_symmetry_space_group_name_H-M 'I 4/m c m'
_symmetry_Int_Tables_number 140
_symmetry_space_group_name_Hall '-I 4 2c'
_cell_length_a 8.647
_cell_length_b 8.647
_cell_length_c 13.805
_cell_angle_alpha 90.00
_cell_angle_beta 90.00
_cell_angle_gamma 90.00
loop_
_atom_site_label
_atom_site_fract_x
_atom_site_fract_y
_atom_site_fract_z
Tl1 0.000 0.000 0.000
Tl2 0.159 0.341 0.154
Hg1 0.000 0.000 0.250
Sb1 0.127 0.373 0.500

---

Verdict on stability: run 2 comes out on top.

---

Run 1
# GGA-PBE Tl8Hg2Sb, optimized geometry
# N(E_F): 0.4258 states/eV per atom
data_Tl8Hg2Sb
_chemical_formula_sum 'Tl16 Hg4 Sb2'
_symmetry_space_group_name_H-M 'I m m m'
_symmetry_Int_Tables_number 71
_symmetry_space_group_name_Hall '-I 2 2'
_cell_length_a 5.318
_cell_length_b 8.277
_cell_length_c 15.578
_cell_angle_alpha 90.00
_cell_angle_beta 90.00
_cell_angle_gamma 90.00
loop_
_atom_site_label
_atom_site_fract_x
_atom_site_fract_y
_atom_site_fract_z
Tl1 0.000 0.000 0.148
Tl2 0.000 0.219 0.351
Tl3 0.000 0.302 0.000
Hg1 0.000 0.500 0.200
Sb1 0.000 0.500 0.500

---

Run 2
# GGA-PBE Tl8Hg2Sb, optimized geometry
# N(E_F): 0.4497 states/eV per atom
data_Tl8Hg2Sb
_chemical_formula_sum 'Tl16 Hg4 Sb2'
_symmetry_space_group_name_H-M 'C 1 2/m 1'
_symmetry_Int_Tables_number 12
_symmetry_space_group_name_Hall '-C 2y'
_cell_length_a 13.824
_cell_length_b 9.920
_cell_length_c 5.761
_cell_angle_alpha 90.00
_cell_angle_beta 108.61
_cell_angle_gamma 90.00
loop_
_atom_site_label
_atom_site_fract_x
_atom_site_fract_y
_atom_site_fract_z
Tl1 0.079 0.236 0.296
Tl2 0.103 0.000 0.797
Tl3 0.247 0.500 0.598
Hg1 0.143 0.500 0.027
Sb1 0.000 0.500 0.500

---

Verdict on stability: run 1 comes out on top.

---

Run 1
# GGA-PBE Tl3Hg4Sb, optimized geometry
# N(E_F): 0.3262 states/eV per atom
data_Tl3Hg4Sb
_chemical_formula_sum 'Tl6 Hg8 Sb2'
_symmetry_space_group_name_H-M 'I m m m'
_symmetry_Int_Tables_number 71
_symmetry_space_group_name_Hall '-I 2 2'
_cell_length_a 3.350
_cell_length_b 11.386
_cell_length_c 12.254
_cell_angle_alpha 90.00
_cell_angle_beta 90.00
_cell_angle_gamma 90.00
loop_
_atom_site_label
_atom_site_fract_x
_atom_site_fract_y
_atom_site_fract_z
Tl1 0.000 0.000 0.000
Tl2 0.000 0.500 0.232
Hg1 0.000 0.257 0.372
Sb1 0.000 0.000 0.500

---

Run 2
# GGA-PBE Tl3Hg4Sb, optimized geometry
# N(E_F): 0.4159 states/eV per atom
data_Tl3Hg4Sb
_chemical_formula_sum 'Tl6 Hg8 Sb2'
_symmetry_space_group_name_H-M 'C 1 2 1'
_symmetry_Int_Tables_number 5
_symmetry_space_group_name_Hall 'C 2y'
_cell_length_a 11.454
_cell_length_b 6.631
_cell_length_c 6.306
_cell_angle_alpha 90.00
_cell_angle_beta 98.84
_cell_angle_gamma 90.00
loop_
_atom_site_label
_atom_site_fract_x
_atom_site_fract_y
_atom_site_fract_z
Tl1 0.000 0.000 0.000
Tl2 0.171 0.788 0.619
Hg1 0.079 0.522 0.209
Hg2 0.220 0.334 0.855
Sb1 0.000 0.199 0.500

---

Verdict on stability: run 2 comes out on top.

---

Run 1
# GGA-PBE Tl7HgSb2, optimized geometry
# N(E_F): 0.4084 states/eV per atom
data_Tl7HgSb2
_chemical_formula_sum 'Tl28 Hg4 Sb8'
_symmetry_space_group_name_H-M 'C 1 2/c 1'
_symmetry_Int_Tables_number 15
_symmetry_space_group_name_Hall '-C 2yc'
_cell_length_a 17.637
_cell_length_b 7.175
_cell_length_c 11.158
_cell_angle_alpha 90.00
_cell_angle_beta 116.19
_cell_angle_gamma 90.00
loop_
_atom_site_label
_atom_site_fract_x
_atom_site_fract_y
_atom_site_fract_z
Tl1 0.000 0.067 0.250
Tl2 0.095 0.290 0.575
Tl3 0.126 0.205 0.034
Tl4 0.192 0.417 0.352
Hg1 0.000 0.454 0.750
Sb1 0.206 0.029 0.836

---

Run 2
# GGA-PBE Tl7HgSb2, optimized geometry
# N(E_F): 0.2364 states/eV per atom
data_Tl7HgSb2
_chemical_formula_sum 'Tl14 Hg2 Sb4'
_symmetry_space_group_name_H-M 'C m m m'
_symmetry_Int_Tables_number 65
_symmetry_space_group_name_Hall '-C 2 2'
_cell_length_a 9.394
_cell_length_b 16.077
_cell_length_c 5.346
_cell_angle_alpha 90.00
_cell_angle_beta 90.00
_cell_angle_gamma 90.00
loop_
_atom_site_label
_atom_site_fract_x
_atom_site_fract_y
_atom_site_fract_z
Tl1 0.000 0.000 0.000
Tl2 0.000 0.297 0.500
Tl3 0.194 0.379 0.000
Hg1 0.000 0.500 0.500
Sb1 0.000 0.202 0.000

---

Verdict on stability: run 1 comes out on top.

---

Run 1
# GGA-PBE TmHgSb2, optimized geometry
# N(E_F): 0.7307 states/eV per atom
data_TmHgSb2
_chemical_formula_sum 'Tm3 Hg3 Sb6'
_symmetry_space_group_name_H-M 'R -3 m'
_symmetry_Int_Tables_number 166
_symmetry_space_group_name_Hall '-R 3 2"'
_cell_length_a 4.5107
_cell_length_b 4.5107
_cell_length_c 19.8816
_cell_angle_alpha 90.00
_cell_angle_beta 90.00
_cell_angle_gamma 120.00
loop_
_atom_site_label
_atom_site_fract_x
_atom_site_fract_y
_atom_site_fract_z
Tm1 0.0000 0.0000 0.0000
Hg1 0.0000 0.0000 0.5000
Sb1 0.0000 0.0000 0.2518

---

Run 2
# GGA-PBE TmHgSb2, optimized geometry
# N(E_F): 0.3650 states/eV per atom
data_TmHgSb2
_chemical_formula_sum 'Tm1 Hg1 Sb2'
_symmetry_space_group_name_H-M 'P 4/m m m'
_symmetry_Int_Tables_number 123
_symmetry_space_group_name_Hall '-P 4 2'
_cell_length_a 4.962
_cell_length_b 4.962
_cell_length_c 4.127
_cell_angle_alpha 90.00
_cell_angle_beta 90.00
_cell_angle_gamma 90.00
loop_
_atom_site_label
_atom_site_fract_x
_atom_site_fract_y
_atom_site_fract_z
Tm1 0.000 0.000 0.000
Hg1 0.500 0.500 0.000
Sb1 0.000 0.500 0.500

---

Verdict on stability: run 2 comes out on top.

---

Run 1
# GGA-PBE TmHgSb, optimized geometry
# N(E_F): 0.4943 states/eV per atom
data_TmHgSb
_chemical_formula_sum 'Tm4 Hg4 Sb4'
_symmetry_space_group_name_H-M 'I m m m'
_symmetry_Int_Tables_number 71
_symmetry_space_group_name_Hall '-I 2 2'
_cell_length_a 3.411
_cell_length_b 5.397
_cell_length_c 18.344
_cell_angle_alpha 90.00
_cell_angle_beta 90.00
_cell_angle_gamma 90.00
loop_
_atom_site_label
_atom_site_fract_x
_atom_site_fract_y
_atom_site_fract_z
Tm1 0.000 0.000 0.169
Hg1 0.000 0.252 0.000
Sb1 0.000 0.000 0.336

---

Run 2
# GGA-PBE TmHgSb, optimized geometry
# N(E_F): 0.6199 states/eV per atom
data_TmHgSb
_chemical_formula_sum 'Tm2 Hg2 Sb2'
_symmetry_space_group_name_H-M 'I 4 m m'
_symmetry_Int_Tables_number 107
_symmetry_space_group_name_Hall 'I 4 -2'
_cell_length_a 4.156
_cell_length_b 4.156
_cell_length_c 9.237
_cell_angle_alpha 90.00
_cell_angle_beta 90.00
_cell_angle_gamma 90.00
loop_
_atom_site_label
_atom_site_fract_x
_atom_site_fract_y
_atom_site_fract_z
Tm1 0.000 0.000 0.000
Hg1 0.000 0.000 0.322
Sb1 0.000 0.000 0.647

---

Verdict on stability: run 2 comes out on top.

---

Run 1
# GGA-PBE V2HgSb, optimized geometry
# N(E_F): 1.6240 states/eV per atom
data_V2HgSb
_chemical_formula_sum 'V8 Hg4 Sb4'
_symmetry_space_group_name_H-M 'I -4 2 d'
_symmetry_Int_Tables_number 122
_symmetry_space_group_name_Hall 'I -4 2bw'
_cell_length_a 4.345
_cell_length_b 4.345
_cell_length_c 18.808
_cell_angle_alpha 90.00
_cell_angle_beta 90.00
_cell_angle_gamma 90.00
loop_
_atom_site_label
_atom_site_fract_x
_atom_site_fract_y
_atom_site_fract_z
V1 0.230 0.250 0.125
Hg1 0.000 0.000 0.000
Sb1 0.000 0.000 0.500

---

Run 2
# GGA-PBE V2HgSb, optimized geometry
# N(E_F): 1.3203 states/eV per atom
data_V2HgSb
_chemical_formula_sum 'V8 Hg4 Sb4'
_symmetry_space_group_name_H-M 'F m -3 m'
_symmetry_Int_Tables_number 225
_symmetry_space_group_name_Hall '-F 4 2 3'
_cell_length_a 6.741
_cell_length_b 6.741
_cell_length_c 6.741
_cell_angle_alpha 90.00
_cell_angle_beta 90.00
_cell_angle_gamma 90.00
loop_
_atom_site_label
_atom_site_fract_x
_atom_site_fract_y
_atom_site_fract_z
V1 0.250 0.250 0.250
Hg1 0.000 0.000 0.000
Sb1 0.000 0.000 0.500

---

Verdict on stability: run 2 comes out on top.